No. 1
La6PmSm2Sc, relaxed, DFT GGA-PBE; calculated total energy = -48.10 eV/f.u.; calculated formation energy = 0.1980 eV/atom; symmetry = No. 12; magnetization = 0.000 μB/cell; N(E_F) = 1.485 states/eV per atom
1.0
5.0808 -3.7107 0.0000
5.0808 3.7107 0.0000
-1.6089 0.0000 9.2733
La Pm Sm Sc
6 1 2 1
Cartesian
2.5579 2.0434 6.7993
0.3492 0.0000 5.8180
5.9949 2.0434 2.4740
2.5579 -2.0434 6.7993
8.2036 0.0000 3.4553
5.9949 -2.0434 2.4740
4.2764 0.0000 4.6366
3.4026 0.0000 0.4925
5.1502 0.0000 8.7808
0.0000 0.0000 0.0000

=====

No. 2
Ti4Zn3Ga, relaxed, DFT GGA-PBE; calculated total energy = -40.60 eV/f.u.; calculated formation energy = -0.2709 eV/atom; symmetry = No. 47; magnetization = 0.937 μB/cell; N(E_F) = 0.977 states/eV per atom
1.0
3.8749 0.0000 0.0000
0.0000 4.0068 0.0000
0.0000 0.0000 8.0134
Ti Zn Ga
4 3 1
Cartesian
0.0000 0.0000 0.0000
0.0000 0.0000 4.0067
0.0000 2.0034 1.9961
0.0000 2.0034 6.0174
1.9374 0.0000 2.0295
1.9374 0.0000 5.9839
1.9374 2.0034 4.0067
1.9374 2.0034 0.0000

=====

No. 3
Pm3Re2Si4, relaxed, DFT GGA-PBE; calculated total energy = -65.82 eV/f.u.; symmetry = No. 12; magnetization = 0.000 μB/cell; energy relative to the elements, uncorrected = -5.0 eV per formula unit; N(E_F) = 0.524 states/eV per atom
1.0
5.5490 -2.1253 0.0000
5.5490 2.1253 0.0000
-2.7052 0.0000 7.8135
Pm Re Si
3 2 4
Cartesian
0.0000 0.0000 0.0000
3.4204 0.0000 2.3444
4.9724 0.0000 5.4691
1.7478 0.0000 5.0473
6.6450 0.0000 2.7662
0.0429 0.0000 3.2315
0.6805 0.0000 7.2034
7.7123 0.0000 0.6101
8.3499 0.0000 4.5820